No. 1
Compound: RbMn3Sb
Source: Alexandria via LeMat-Bulk
Functional: SCAN
Structure: single point on PBEsol structure

Structure (POSCAR):
```
RbMn3Sb
1.0
4.848 0.000 0.000
0.000 4.848 0.000
0.000 0.000 4.848
Rb Mn Sb
1 3 1
direct
0.000 0.000 0.000 Rb
0.000 0.000 0.500 Mn
0.000 0.500 0.000 Mn
0.500 0.000 0.000 Mn
0.500 0.500 0.500 Sb
```

Results
Spin magnetization = 12.1 μB/f.u.
Space-group type = Pm-3m, No. 221
Calculated total energy = -103.4 eV/cell
Uncorrected formation energy = 1.881 eV per atom
Volume = 22.793 Å³ per atom


No. 2
Compound: RbMnSe2
Source: Alexandria via LeMat-Bulk
Functional: SCAN
Structure: single point on PBEsol structure

Structure (POSCAR):
```
RbMnSe2
1.0
-3.766 3.766 4.025
3.766 -3.766 4.025
3.766 3.766 -4.025
Rb Mn Se
2 2 4
direct
0.000 0.000 0.000 Rb
0.750 0.250 0.500 Rb
0.250 0.750 0.500 Mn
0.500 0.500 0.000 Mn
0.232 0.125 0.607 Se
0.375 0.768 0.893 Se
0.518 0.625 0.393 Se
0.875 0.482 0.107 Se
```

Results
Spin magnetization = 4.0 μB/f.u.
Space-group type = I-42d, No. 122
Calculated total energy = -166.5 eV/cell
Uncorrected formation energy = -1.026 eV per atom
Volume = 28.540 Å³ per atom


No. 3
Compound: RbMn2Se2
Source: Alexandria via LeMat-Bulk
Functional: SCAN
Structure: single point on PBEsol structure

Structure (POSCAR):
```
RbMn2Se2
1.0
-1.842 1.842 7.369
1.842 -1.842 7.369
1.842 1.842 -7.369
Rb Mn Se
1 2 2
direct
0.000 0.000 0.000 Rb
0.250 0.750 0.500 Mn
0.750 0.250 0.500 Mn
0.353 0.353 0.000 Se
0.647 0.647 0.000 Se
```

Results
Spin magnetization = 4.7 μB/f.u.
Space-group type = I4/mmm, No. 139
Calculated total energy = -100.6 eV/cell
Uncorrected formation energy = -0.643 eV per atom
Volume = 19.995 Å³ per atom


No. 4
Compound: RbMnSe2
Source: Alexandria via LeMat-Bulk
Functional: SCAN
Structure: single point on PBEsol structure

Structure (POSCAR):
```
RbMnSe2
1.0
-1.971 1.971 6.915
1.971 -1.971 6.915
1.971 1.971 -6.915
Rb Mn Se
1 1 2
direct
0.000 0.000 0.000 Rb
0.750 0.250 0.500 Mn
0.349 0.349 0.000 Se
0.651 0.651 0.000 Se
```

Results
Spin magnetization = 4.0 μB/f.u.
Space-group type = I-4m2, No. 119
Calculated total energy = -83.1 eV/cell
Uncorrected formation energy = -0.986 eV per atom
Volume = 26.865 Å³ per atom


No. 5
Compound: Rb3MnSi
Source: Alexandria via LeMat-Bulk
Functional: SCAN
Structure: single point on PBEsol structure

Structure (POSCAR):
```
Rb3MnSi
1.0
6.449 0.000 0.000
0.000 6.449 0.000
0.000 0.000 6.449
Rb Mn Si
3 1 1
direct
0.000 0.000 0.500 Rb
0.000 0.500 0.000 Rb
0.500 0.000 0.000 Rb
0.000 0.000 0.000 Mn
0.500 0.500 0.500 Si
```

Results
Spin magnetization = 6.1 μB/f.u.
Space-group type = Pm-3m, No. 221
Calculated total energy = -85.2 eV/cell
Uncorrected formation energy = 1.054 eV per atom
Volume = 53.651 Å³ per atom


No. 6
Compound: Rb3MnSn
Source: Alexandria via LeMat-Bulk
Functional: SCAN
Structure: single point on PBEsol structure

Structure (POSCAR):
```
Rb3MnSn
1.0
6.487 0.000 0.000
0.000 6.487 0.000
0.000 0.000 6.487
Rb Mn Sn
3 1 1
direct
0.000 0.000 0.500 Rb
0.000 0.500 0.000 Rb
0.500 0.000 0.000 Rb
0.000 0.000 0.000 Mn
0.500 0.500 0.500 Sn
```

Results
Spin magnetization = 3.5 μB/f.u.
Space-group type = Pm-3m, No. 221
Calculated total energy = -112.9 eV/cell
Volume = 54.603 Å³ per atom


No. 7
Compound: RbMnSn2
Source: Alexandria via LeMat-Bulk
Functional: SCAN
Structure: single point on PBEsol structure

Structure (POSCAR):
```
RbMnSn2
1.0
0.000 3.716 3.716
3.716 0.000 3.716
3.716 3.716 0.000
Rb Mn Sn
1 1 2
direct
0.000 0.000 0.000 Rb
0.500 0.500 0.500 Mn
0.250 0.250 0.250 Sn
0.750 0.750 0.750 Sn
```

Results
Spin magnetization = 4.4 μB/f.u.
Space-group type = Fm-3m, No. 225
Calculated total energy = -109.8 eV/cell
Volume = 25.651 Å³ per atom


No. 8
Compound: Rb2TaMnW
Source: Alexandria via LeMat-Bulk
Functional: SCAN
Structure: single point on PBEsol structure

Structure (POSCAR):
```
Rb2TaMnW
1.0
6.602 0.000 0.000
0.000 6.602 0.000
0.000 0.000 4.362
Rb Ta Mn W
2 1 1 1
direct
0.000 0.500 0.000 Rb
0.500 0.000 0.000 Rb
0.000 0.000 0.500 Ta
0.500 0.500 0.500 Mn
0.500 0.500 0.000 W
```

Results
Spin magnetization = 4.6 μB/f.u.
Space-group type = P4/mmm, No. 123
Calculated total energy = -183.3 eV/cell
Volume = 38.026 Å³ per atom


No. 9
Compound: RbTaMnW2
Source: Alexandria via LeMat-Bulk
Functional: SCAN
Structure: single point on PBEsol structure

Structure (POSCAR):
```
RbTaMnW2
1.0
4.564 0.000 0.000
0.000 4.564 0.000
0.000 0.000 4.664
Rb Ta Mn W
1 1 1 2
direct
0.000 0.000 0.000 Rb
0.500 0.500 0.000 Ta
0.000 0.000 0.500 Mn
0.000 0.500 0.500 W
0.500 0.000 0.500 W
```

Results
Spin magnetization = 0.0 μB/f.u.
Space-group type = P4/mmm, No. 123
Calculated total energy = -232.6 eV/cell
Volume = 19.434 Å³ per atom


No. 10
Compound: RbMn3Te
Source: Alexandria via LeMat-Bulk
Functional: SCAN
Structure: single point on PBEsol structure

Structure (POSCAR):
```
RbMn3Te
1.0
4.870 0.000 0.000
0.000 4.870 0.000
0.000 0.000 4.870
Rb Mn Te
1 3 1
direct
0.000 0.000 0.000 Rb
0.000 0.000 0.500 Mn
0.000 0.500 0.000 Mn
0.500 0.000 0.000 Mn
0.500 0.500 0.500 Te
```

Results
Spin magnetization = 11.8 μB/f.u.
Space-group type = Pm-3m, No. 221
Calculated total energy = -103.3 eV/cell
Uncorrected formation energy = 1.891 eV per atom
Volume = 23.096 Å³ per atom


No. 11
Compound: RbMn2Te2
Source: Alexandria via LeMat-Bulk
Functional: SCAN
Structure: single point on PBEsol structure

Structure (POSCAR):
```
RbMn2Te2
1.0
-2.166 2.166 7.535
2.166 -2.166 7.535
2.166 2.166 -7.535
Rb Mn Te
1 2 2
direct
0.000 0.000 0.000 Rb
0.250 0.750 0.500 Mn
0.750 0.250 0.500 Mn
0.358 0.358 0.000 Te
0.642 0.642 0.000 Te
```

Results
Spin magnetization = 9.0 μB/f.u.
Space-group type = I4/mmm, No. 139
Calculated total energy = -135.2 eV/cell
Uncorrected formation energy = -0.694 eV per atom
Volume = 28.275 Å³ per atom


No. 12
Compound: RbTiMn2
Source: Alexandria via LeMat-Bulk
Functional: SCAN
Structure: single point on PBEsol structure

Structure (POSCAR):
```
RbTiMn2
1.0
0.000 3.424 3.424
3.424 0.000 3.424
3.424 3.424 0.000
Rb Ti Mn
1 1 2
direct
0.000 0.000 0.000 Rb
0.500 0.500 0.500 Ti
0.250 0.250 0.250 Mn
0.750 0.750 0.750 Mn
```

Results
Spin magnetization = 5.6 μB/f.u.
Space-group type = Fm-3m, No. 225
Calculated total energy = -69.3 eV/cell
Volume = 20.067 Å³ per atom


Number 1: Fermi-level density of states 2.23 states/eV/f.u.. Number 2: Fermi-level density of states 1.53 states/eV/f.u.. Number 3: Fermi-level density of states 3.31 states/eV/f.u.. Number 4: Fermi-level density of states 1.86 states/eV/f.u.. Number 5: Fermi-level density of states 8.40 states/eV/f.u.. Number 6: Fermi-level density of states 4.24 states/eV/f.u.. Number 7: Fermi-level density of states 2.02 states/eV/f.u.. Number 8: Fermi-level density of states 7.91 states/eV/f.u.. Number 9: Fermi-level density of states 5.93 states/eV/f.u.. Number 10: Fermi-level density of states 3.36 states/eV/f.u.. Number 11: Fermi-level density of states 2.04 states/eV/f.u.. Number 12: Fermi-level density of states 2.85 states/eV/f.u..